w) Computed, not measured: a relaxed Ca3ZrCl crystal at the PBE level of DFT.

a b c (Å): 5.444 5.444 5.444
angles (deg): 90.00 90.00 90.00
Site moments in Bohr magnetons follow the coordinates.
Fractional positions:
Ca 0.000 0.500 0.000  0.08
Ca 0.000 0.000 0.500  0.12
Ca 0.500 0.000 0.000  0.07
Zr 0.500 0.500 0.500  1.14
Cl 0.000 0.000 0.000  0.01

Properties
Total magnetization, Bohr magnetons per cell: 3.07


x) Computed, not measured: a relaxed Ca3ZrCl crystal at the PBE level of DFT.

a b c (Å): 6.161 6.161 6.161
angles (deg): 90.00 90.00 90.00
Site moments in Bohr magnetons follow the coordinates.
Fractional positions:
Ca 0.000 0.500 0.000  0.16
Ca 0.000 0.000 0.500  0.18
Ca 0.500 0.000 0.000  0.11
Zr 0.000 0.000 0.000  1.45
Cl 0.500 0.500 0.500  0.06

Properties
Total magnetization, Bohr magnetons per cell: 4.09


The most stable arrangement is w), and the next structure is 752 meV/atom less stable.


w) Computed, not measured: a relaxed CaZrCl3 crystal at the PBE level of DFT.

a b c (Å): 5.296 5.296 5.296
angles (deg): 90.00 90.00 90.00
Site moments in Bohr magnetons follow the coordinates.
Fractional positions:
Ca 0.000 0.000 0.000  0.00
Zr 0.500 0.500 0.500  1.83
Cl 0.000 0.500 0.000  0.01
Cl 0.000 0.000 0.500  0.01
Cl 0.500 0.000 0.000  0.01

Properties
Total magnetization, Bohr magnetons per cell: 2.99


x) Computed, not measured: a relaxed CaZrCl3 crystal at the PBE level of DFT.

a b c (Å): 5.103 5.103 5.103
angles (deg): 90.00 90.00 90.00
Fractional positions:
Ca 0.500 0.500 0.500
Zr 0.000 0.000 0.000
Cl 0.000 0.500 0.000
Cl 0.000 0.000 0.500
Cl 0.500 0.000 0.000

Properties
Total magnetization, Bohr magnetons per cell: 0.00


The most stable arrangement is x), and the next structure is 185 meV/atom less stable.


w) Computed, not measured: a relaxed Ca4Co crystal at the PBE level of DFT.

a b c (Å): 5.528 5.528 5.528
angles (deg): 90.00 90.00 90.00
Fractional positions:
Ca 0.000 0.000 0.000
Ca 0.500 0.000 0.500
Ca 0.000 0.500 0.500
Ca 0.500 0.500 0.000
Co 0.500 0.500 0.500

Properties
Total magnetization, Bohr magnetons per cell: 0.00


x) Computed, not measured: a relaxed Ca4Co crystal at the PBE level of DFT.

a b c (Å): 6.355 7.219 8.646
angles (deg): 114.67 111.56 90.00
Fractional positions:
Ca 0.662 0.018 0.324
Ca 0.162 0.306 0.324
Ca 0.428 0.627 0.856
Ca 0.928 0.229 0.856
Ca 0.572 0.373 0.144
Ca 0.072 0.771 0.144
Ca 0.838 0.694 0.676
Ca 0.338 0.982 0.676
Co 0.750 0.000 0.000
Co 0.250 0.000 0.000

Properties
Total magnetization, Bohr magnetons per cell: 0.00


y) Computed, not measured: a relaxed Ca4Co crystal at the PBE level of DFT.

a b c (Å): 6.009 6.009 6.009
angles (deg): 109.47 109.47 109.47
Site moments in Bohr magnetons follow the coordinates.
Fractional positions:
Ca 0.500 0.000 0.000  -0.01
Ca 0.500 0.500 0.500  -0.01
Ca 0.000 0.500 0.000  -0.01
Ca 0.000 0.000 0.500  -0.01
Co 0.000 0.000 0.000  0.28

Properties
Total magnetization, Bohr magnetons per cell: 0.22


The most stable arrangement is x), and the next structure is 31 meV/atom less stable.


w) Computed, not measured: a relaxed CaCr3Co crystal at the PBE level of DFT.

a b c (Å): 4.223 4.223 4.223
angles (deg): 90.00 90.00 90.00
Site moments in Bohr magnetons follow the coordinates.
Fractional positions:
Cr 0.000 0.500 0.000  -0.61
Cr 0.000 0.000 0.500  -0.57
Cr 0.500 0.000 0.000  -0.43
Ca 0.000 0.000 0.000  -0.05
Co 0.500 0.500 0.500  1.89

Properties
Total magnetization, Bohr magnetons per cell: 0.10


x) Computed, not measured: a relaxed CaCr3Co crystal at the PBE level of DFT.

a b c (Å): 4.602 4.602 4.602
angles (deg): 90.00 90.00 90.00
Site moments in Bohr magnetons follow the coordinates.
Fractional positions:
Cr 0.000 0.500 0.000  3.18
Cr 0.000 0.000 0.500  2.95
Cr 0.500 0.000 0.000  3.17
Ca 0.500 0.500 0.500  0.02
Co 0.000 0.000 0.000  -0.37

Properties
Total magnetization, Bohr magnetons per cell: 9.87


The most stable arrangement is x), and the next structure is 1787 meV/atom less stable.


w) Computed, not measured: a relaxed CsCaCo3 crystal at the PBE level of DFT.

a b c (Å): 5.019 5.019 5.019
angles (deg): 90.00 90.00 90.00
Site moments in Bohr magnetons follow the coordinates.
Fractional positions:
Cs 0.500 0.500 0.500  0.01
Ca 0.000 0.000 0.000  -0.14
Co 0.000 0.500 0.000  1.88
Co 0.000 0.000 0.500  1.67
Co 0.500 0.000 0.000  1.78

Properties
Total magnetization, Bohr magnetons per cell: 5.11


x) Computed, not measured: a relaxed CsCaCo3 crystal at the PBE level of DFT.

a b c (Å): 4.815 4.815 4.815
angles (deg): 90.00 90.00 90.00
Site moments in Bohr magnetons follow the coordinates.
Fractional positions:
Cs 0.000 0.000 0.000  -0.05
Ca 0.500 0.500 0.500  -0.04
Co 0.000 0.500 0.000  0.93
Co 0.000 0.000 0.500  0.76
Co 0.500 0.000 0.000  0.75

Properties
Total magnetization, Bohr magnetons per cell: 2.04


The most stable arrangement is w), and the next structure is 107 meV/atom less stable.


w) Computed, not measured: a relaxed CsCa3Co crystal at the PBE level of DFT.

a b c (Å): 5.756 5.756 5.756
angles (deg): 90.00 90.00 90.00
Site moments in Bohr magnetons follow the coordinates.
Fractional positions:
Cs 0.000 0.000 0.000  0.07
Ca 0.000 0.500 0.000  0.04
Ca 0.000 0.000 0.500  0.07
Ca 0.500 0.000 0.000  0.02
Co 0.500 0.500 0.500  -0.07

Properties
Total magnetization, Bohr magnetons per cell: 0.62


x) Computed, not measured: a relaxed CsCa3Co crystal at the PBE level of DFT.

a b c (Å): 5.756 5.756 5.756
angles (deg): 90.00 90.00 90.00
Fractional positions:
Cs 0.500 0.500 0.500
Ca 0.000 0.500 0.000
Ca 0.000 0.000 0.500
Ca 0.500 0.000 0.000
Co 0.000 0.000 0.000

Properties
Total magnetization, Bohr magnetons per cell: 0.00


The most stable arrangement is x), and the next structure is 1516 meV/atom less stable.